# ZnPdRu3

A geometry-optimized ZnPdRu3 structure (PBE, the Alexandria database).

Unit cell a=4.505 b=4.505 c=4.505 alpha=90.00 beta=90.00 gamma=90.00
Site moments in Bohr magnetons follow the coordinates.
Element x y z (fractional)
Ru: 0.000 0.000 0.500  1.79
Ru: 0.000 0.500 0.000  1.60
Ru: 0.500 0.000 0.000  1.32
Pd: 0.500 0.500 0.500  0.39
Zn: 0.000 0.000 0.000  0.02

Computed properties:
Relative energy among the computed polymorphs   0.000 eV/atom
Total magnetic moment   5.16 μB per formula unit
Space group   No. 221


# NbAlAs2Br

A geometry-optimized NbAlAs2Br structure (PBE, the Alexandria database).

Unit cell a=4.993 b=4.993 c=5.420 alpha=90.00 beta=90.00 gamma=90.00
Element x y z (fractional)
Nb: 0.000 0.000 0.000
As: 0.500 0.000 0.000
As: 0.000 0.500 0.000
Al: 0.500 0.500 0.500
Br: 0.000 0.000 0.500

Computed properties:
Relative energy among the computed polymorphs   0.000 eV/atom
Total magnetic moment   0.00 μB per formula unit
Space group   No. 123
Raw formation energy   100.9 kJ/mol of formula units


# PuCu2Pd2

A geometry-optimized PuCu2Pd2 structure (PBE, the Alexandria database).

Unit cell a=7.558 b=7.558 c=5.290 alpha=90.00 beta=90.00 gamma=145.57
Site moments in Bohr magnetons follow the coordinates.
Element x y z (fractional)
Pd: 0.850 0.650 0.250  -0.03
Pd: 0.150 0.350 0.750  -0.03
Pd: 0.538 0.962 0.750  -0.04
Pd: 0.462 0.038 0.250  -0.04
Pu: 0.913 0.587 0.750  5.18
Pu: 0.087 0.413 0.250  5.18
Cu: 0.699 0.801 0.507  0.01
Cu: 0.699 0.801 0.993  0.01
Cu: 0.301 0.199 0.007  0.01
Cu: 0.301 0.199 0.493  0.01

Computed properties:
Total magnetic moment   5.41 μB per formula unit
Final energy   -0.2495 Ha/atom
Space group   No. 63


# K3Pr2NdSe6

A geometry-optimized K3Pr2NdSe6 structure (PBE, the Alexandria database).

Unit cell a=7.570 b=7.570 c=8.116 alpha=98.95 beta=98.95 gamma=120.00
Element x y z (fractional)
Pr: 0.333 0.667 0.000
Pr: 0.667 0.333 0.000
Se: 0.739 0.739 0.212
Se: 0.402 0.071 0.212
Se: 0.261 0.261 0.788
Se: 0.929 0.598 0.788
Se: 0.598 0.929 0.788
Se: 0.071 0.402 0.212
K: 0.167 0.833 0.500
K: 0.833 0.167 0.500
K: 0.500 0.500 0.500
Nd: 0.000 0.000 0.000

Computed properties:
Total magnetic moment   0.00 μB per formula unit
Space group   No. 12
Raw formation energy   -2027.8 kJ/mol of formula units


# RbBiC3

A geometry-optimized RbBiC3 structure (PBE, the Alexandria database).

Unit cell a=4.792 b=4.792 c=4.792 alpha=90.00 beta=90.00 gamma=90.00
Site moments in Bohr magnetons follow the coordinates.
Element x y z (fractional)
C: 0.000 0.000 0.500  0.67
C: 0.000 0.500 0.000  0.59
C: 0.500 0.000 0.000  0.62
Bi: 0.000 0.000 0.000  -0.03
Rb: 0.500 0.500 0.500  0.04

Computed properties:
Relative energy among the computed polymorphs   0.000 eV/atom
Total magnetic moment   4.01 μB per formula unit
Space group   No. 221


# Er3NbCl2O6

A geometry-optimized Er3NbCl2O6 structure (PBE, the Alexandria database).

Unit cell a=5.487 b=6.515 c=6.568 alpha=119.73 beta=80.42 gamma=90.00
Element x y z (fractional)
O: 0.329 0.172 0.344
O: 0.671 0.828 0.656
O: 0.706 0.298 0.118
O: 0.294 0.702 0.882
O: 0.294 0.181 0.882
O: 0.706 0.819 0.118
Cl: 0.156 0.704 0.409
Cl: 0.844 0.296 0.591
Nb: 0.500 0.000 0.000
Er: 0.500 0.500 0.500
Er: 0.000 0.500 0.000
Er: 0.500 0.000 0.500

Computed properties:
Total magnetic moment   0.00 μB per formula unit
Space group   No. 12
Raw formation energy   -3206.6 kJ/mol of formula units


# BSbTe2Rh

A geometry-optimized BSbTe2Rh structure (PBE, the Alexandria database).

Unit cell a=5.378 b=5.378 c=4.927 alpha=90.00 beta=90.00 gamma=90.00
Element x y z (fractional)
Sb: 0.000 0.000 0.500
Te: 0.000 0.500 0.000
Te: 0.500 0.000 0.000
B: 0.500 0.500 0.500
Rh: 0.000 0.000 0.000

Computed properties:
Relative energy among the computed polymorphs   0.311 eV/atom
Total magnetic moment   0.00 μB per formula unit
Space group   No. 123
Raw formation energy   566.0 kJ/mol of formula units


# NaTl2RhPb

A geometry-optimized NaTl2RhPb structure (PBE, the Alexandria database).

Unit cell a=5.326 b=5.326 c=5.360 alpha=90.00 beta=90.00 gamma=90.00
Element x y z (fractional)
Rh: 0.000 0.000 0.000
Tl: 0.000 0.500 0.000
Tl: 0.500 0.000 0.000
Na: 0.500 0.500 0.500
Pb: 0.000 0.000 0.500

Computed properties:
Total magnetic moment   0.00 μB per formula unit
Final energy   -0.1250 Ha/atom
Space group   No. 123


Q: Number 3 is which compound?
A: PuCu2Pd2